The following is a DFT calculation (PBE-GGA) of crystalline Sr2LiZnCu at its relaxed geometry.

Summary:
* Fermi-level density of states: 3.16 states/eV per cell
* total DFT energy (no corrections): -2.102 eV per atom
* calculated formation energy: 27.2 meV per atom
* magnetization: 0.0 μB/f.u.

abc: 5.920 5.920 4.710
angles: 90.00 90.00 90.00
Element x y z (fractional)
Sr (0.000, 0.500, 0.000)
Sr (0.500, 0.000, 0.000)
Li (0.000, 0.000, 0.500)
Zn (0.500, 0.500, 0.500)
Cu (0.500, 0.500, 0.000)

---

The following is a DFT calculation (PBE-GGA) of crystalline Au2BrCl at its relaxed geometry.

Summary:
* formation energy without anion corrections: 13.59 kJ per mole of atoms
* Fermi-level density of states: 0.00 states/eV per cell
* total DFT energy (no corrections): -2.378 eV per atom
* E above lowest polymorph: 0.243 eV/atom
* magnetization: 0.0 μB/f.u.

abc: 7.501 7.501 7.501
angles: 131.52 131.52 70.99
Element x y z (fractional)
Au (0.116, 0.625, 0.991)
Au (0.375, 0.366, 0.491)
Au (0.634, 0.125, 0.009)
Au (0.875, 0.884, 0.509)
Br (0.250, 0.750, 0.500)
Br (0.500, 0.500, 0.000)
Cl (0.000, 0.000, 0.000)
Cl (0.750, 0.250, 0.500)

---

The following is a DFT calculation (PBE-GGA) of crystalline PmGdBeCd at its relaxed geometry.

Summary:
* Fermi-level density of states: 3.38 states/eV per cell
* total DFT energy (no corrections): -5.891 eV per atom
* calculated formation energy: -22.8 meV per atom
* magnetization: 7.9 μB/f.u.

abc: 5.184 5.184 5.184
angles: 60.00 60.00 60.00
Element x y z (fractional)
Pm (0.000, 0.000, 0.000)
Gd (0.500, 0.500, 0.500)
Be (0.750, 0.750, 0.750)
Cd (0.250, 0.250, 0.250)

---

The following is a DFT calculation (PBE-GGA) of crystalline InTe2Pt at its relaxed geometry.

Summary:
* formation energy without anion corrections: -18.09 kJ per mole of atoms
* Fermi-level density of states: 1.77 states/eV per cell
* total DFT energy (no corrections): -3.953 eV per atom
* magnetization: 0.0 μB/f.u.

abc: 6.912 6.912 4.513
angles: 108.79 108.79 32.62
Element x y z (fractional)
In (0.000, 0.000, 0.000)
Te (0.158, 0.158, 0.657)
Te (0.842, 0.842, 0.343)
Pt (0.500, 0.500, 0.500)